The following is a DFT calculation (meta-GGA SCAN) of a crystal of CsCu2F5 relaxed with PBEsol.

Output
The formation energy (no corrections) is -206.5 kJ/mol of atoms.

a = 7.033 Å, b = 7.351 Å, c = 10.852 Å
α = 90.00°, β = 121.55°, γ = 90.00°
Atoms (fractional coordinates):
1 Cs 0.129 0.013 0.385
2 Cs 0.129 0.487 0.885
3 Cs 0.871 0.513 0.115
4 Cs 0.871 0.987 0.615
5 Cu 0.000 0.000 0.000
6 Cu 0.000 0.500 0.500
7 Cu 0.498 0.248 0.758
8 Cu 0.498 0.252 0.258
9 Cu 0.500 0.000 0.000
10 Cu 0.500 0.500 0.500
11 Cu 0.502 0.748 0.742
12 Cu 0.502 0.752 0.242
13 F 0.186 0.015 0.918
14 F 0.186 0.485 0.418
15 F 0.193 0.195 0.146
16 F 0.193 0.305 0.646
17 F 0.197 0.689 0.644
18 F 0.197 0.811 0.144
19 F 0.420 0.503 0.233
20 F 0.420 0.997 0.733
21 F 0.491 0.750 0.026
22 F 0.491 0.750 0.526
23 F 0.509 0.250 0.474
24 F 0.509 0.250 0.974
25 F 0.580 0.003 0.267
26 F 0.580 0.497 0.767
27 F 0.803 0.189 0.856
28 F 0.803 0.311 0.356
29 F 0.807 0.695 0.354
30 F 0.807 0.805 0.854
31 F 0.814 0.515 0.582
32 F 0.814 0.985 0.082

---

The following is a DFT calculation (meta-GGA SCAN) of a crystal of Cd2AgAu relaxed with PBEsol.

Output
The density of states at the Fermi level comes out at 0.96 states/eV/f.u. As for the formation energy: -0.18 eV/atom.

a = 6.615 Å, b = 6.615 Å, c = 6.615 Å
α = 90.00°, β = 90.00°, γ = 90.00°
Atoms (fractional coordinates):
1 Cd 0.250 0.250 0.250
2 Cd 0.250 0.250 0.750
3 Cd 0.250 0.750 0.250
4 Cd 0.250 0.750 0.750
5 Cd 0.750 0.250 0.250
6 Cd 0.750 0.250 0.750
7 Cd 0.750 0.750 0.250
8 Cd 0.750 0.750 0.750
9 Ag 0.000 0.000 0.000
10 Ag 0.000 0.500 0.500
11 Ag 0.500 0.000 0.500
12 Ag 0.500 0.500 0.000
13 Au 0.000 0.000 0.500
14 Au 0.000 0.500 0.000
15 Au 0.500 0.000 0.000
16 Au 0.500 0.500 0.500

---

The following is a DFT calculation (meta-GGA SCAN) of a crystal of CsNa3Zr relaxed with PBEsol.

Output
The density of states at the Fermi level comes out at 3.70 states/eV/f.u. As for the formation energy: 1.20 eV/atom.

a = 5.925 Å, b = 5.925 Å, c = 5.925 Å
α = 90.00°, β = 90.00°, γ = 90.00°
Atoms (fractional coordinates):
1 Cs 0.000 0.000 0.000
2 Na 0.000 0.000 0.500
3 Na 0.000 0.500 0.000
4 Na 0.500 0.000 0.000
5 Zr 0.500 0.500 0.500

---

The following is a DFT calculation (meta-GGA SCAN) of a crystal of Mg2InRu relaxed with PBEsol.

Output
The density of states at the Fermi level comes out at 0.83 states/eV/f.u. As for the formation energy: -0.18 eV/atom.

a = 3.563 Å, b = 4.379 Å, c = 8.862 Å
α = 90.00°, β = 90.00°, γ = 90.00°
Atoms (fractional coordinates):
1 Mg 0.000 0.000 0.000
2 Mg 0.000 0.500 0.236
3 Mg 0.500 0.000 0.736
4 Mg 0.500 0.500 0.500
5 In 0.000 0.000 0.476
6 In 0.500 0.500 0.976
7 Ru 0.000 0.500 0.736
8 Ru 0.500 0.000 0.236

---

The following is a DFT calculation (meta-GGA SCAN) of a crystal of Ba3TaFe3Si2O14 relaxed with PBEsol.

Output
The density of states at the Fermi level comes out at 0.00 states/eV/f.u. The formation energy (no corrections) is -265.2 kJ/mol of atoms.

a = 8.571 Å, b = 8.571 Å, c = 5.221 Å
α = 90.00°, β = 90.00°, γ = 120.00°
Atoms (fractional coordinates):
1 Ba 0.000 0.569 0.000
2 Ba 0.431 0.431 0.000
3 Ba 0.569 0.000 0.000
4 Ta 0.000 0.000 0.000
5 Fe 0.000 0.253 0.500
6 Fe 0.253 0.000 0.500
7 Fe 0.747 0.747 0.500
8 Si 0.333 0.667 0.477
9 Si 0.667 0.333 0.523
10 O 0.104 0.887 0.777
11 O 0.113 0.217 0.777
12 O 0.176 0.474 0.350
13 O 0.217 0.113 0.223
14 O 0.298 0.824 0.350
15 O 0.333 0.667 0.785
16 O 0.474 0.176 0.650
17 O 0.526 0.702 0.350
18 O 0.667 0.333 0.215
19 O 0.702 0.526 0.650
20 O 0.783 0.896 0.777
21 O 0.824 0.298 0.650
22 O 0.887 0.104 0.223
23 O 0.896 0.783 0.223

---

The following is a DFT calculation (meta-GGA SCAN) of a crystal of Fe2AsOs relaxed with PBEsol.

Output
The density of states at the Fermi level comes out at 2.28 states/eV/f.u. As for the formation energy: 0.12 eV/atom.

a = 3.634 Å, b = 3.634 Å, c = 3.824 Å
α = 90.00°, β = 90.00°, γ = 90.00°
Atoms (fractional coordinates):
1 Fe 0.000 0.500 0.000
2 Fe 0.500 0.000 0.000
3 As 0.000 0.000 0.500
4 Os 0.500 0.500 0.500

---

The following is a DFT calculation (meta-GGA SCAN) of a crystal of TaAu2Br relaxed with PBEsol.

Output
The density of states at the Fermi level comes out at 3.39 states/eV/f.u. The formation energy (no corrections) is 76.2 kJ/mol of atoms.

a = 6.690 Å, b = 6.690 Å, c = 6.690 Å
α = 90.00°, β = 90.00°, γ = 90.00°
Atoms (fractional coordinates):
1 Ta 0.000 0.000 0.000
2 Ta 0.000 0.500 0.500
3 Ta 0.500 0.000 0.500
4 Ta 0.500 0.500 0.000
5 Au 0.250 0.250 0.250
6 Au 0.250 0.250 0.750
7 Au 0.250 0.750 0.250
8 Au 0.250 0.750 0.750
9 Au 0.750 0.250 0.250
10 Au 0.750 0.250 0.750
11 Au 0.750 0.750 0.250
12 Au 0.750 0.750 0.750
13 Br 0.000 0.000 0.500
14 Br 0.000 0.500 0.000
15 Br 0.500 0.000 0.000
16 Br 0.500 0.500 0.500

---

The following is a DFT calculation (meta-GGA SCAN) of a crystal of SrAs2O6 relaxed with PBEsol.

Output
The density of states at the Fermi level comes out at 0.00 states/eV/f.u. The formation energy (no corrections) is -188.5 kJ/mol of atoms.

a = 4.898 Å, b = 4.898 Å, c = 10.863 Å
α = 90.00°, β = 90.00°, γ = 120.00°
Atoms (fractional coordinates):
1 Sr 0.000 0.000 0.250
2 Sr 0.000 0.000 0.750
3 As 0.333 0.667 0.000
4 As 0.333 0.667 0.500
5 As 0.667 0.333 0.000
6 As 0.667 0.333 0.500
7 O 0.000 0.383 0.097
8 O 0.000 0.383 0.403
9 O 0.000 0.617 0.597
10 O 0.000 0.617 0.903
11 O 0.383 0.000 0.097
12 O 0.383 0.000 0.403
13 O 0.383 0.383 0.597
14 O 0.383 0.383 0.903
15 O 0.617 0.000 0.597
16 O 0.617 0.000 0.903
17 O 0.617 0.617 0.097
18 O 0.617 0.617 0.403

---

The following is a DFT calculation (meta-GGA SCAN) of a crystal of Rb5Zr4F21 relaxed with PBEsol.

Output
The density of states at the Fermi level comes out at 0.00 states/eV/f.u. The formation energy (no corrections) is -360.9 kJ/mol of atoms.

a = 7.800 Å, b = 11.147 Å, c = 11.540 Å
α = 90.00°, β = 98.51°, γ = 90.00°
Atoms (fractional coordinates):
1 Rb 0.027 0.000 0.241
2 Rb 0.161 0.336 0.398
3 Rb 0.194 0.153 0.954
4 Rb 0.282 0.489 0.110
5 Rb 0.323 0.040 0.607
6 Rb 0.677 0.540 0.393
7 Rb 0.718 0.989 0.890
8 Rb 0.806 0.653 0.046
9 Rb 0.839 0.836 0.602
10 Rb 0.973 0.500 0.759
11 Zr 0.168 0.710 0.410
12 Zr 0.214 0.813 0.910
13 Zr 0.465 0.354 0.774
14 Zr 0.499 0.175 0.269
15 Zr 0.501 0.675 0.731
16 Zr 0.535 0.854 0.226
17 Zr 0.786 0.313 0.090
18 Zr 0.832 0.210 0.590
19 F 0.005 0.223 0.733
20 F 0.005 0.626 0.496
21 F 0.045 0.886 0.008
22 F 0.057 0.916 0.795
23 F 0.103 0.870 0.469
24 F 0.110 0.652 0.941
25 F 0.231 0.738 0.743
26 F 0.260 0.223 0.186
27 F 0.279 0.568 0.346
28 F 0.298 0.381 0.885
29 F 0.324 0.821 0.320
30 F 0.334 0.309 0.620
31 F 0.340 0.519 0.703
32 F 0.340 0.801 0.086
33 F 0.346 0.109 0.379
34 F 0.359 0.697 0.551
35 F 0.381 0.947 0.908
36 F 0.386 0.010 0.175
37 F 0.432 0.179 0.798
38 F 0.453 0.706 0.905
39 F 0.482 0.349 0.306
40 F 0.518 0.849 0.694
41 F 0.547 0.206 0.095
42 F 0.568 0.679 0.202
43 F 0.614 0.510 0.825
44 F 0.619 0.447 0.092
45 F 0.641 0.197 0.449
46 F 0.654 0.609 0.621
47 F 0.660 0.019 0.297
48 F 0.660 0.301 0.914
49 F 0.666 0.809 0.380
50 F 0.676 0.321 0.680
51 F 0.702 0.881 0.115
52 F 0.721 0.068 0.654
53 F 0.740 0.723 0.814
54 F 0.769 0.238 0.257
55 F 0.890 0.152 0.059
56 F 0.897 0.370 0.531
57 F 0.943 0.416 0.205
58 F 0.955 0.386 0.992
59 F 0.995 0.126 0.504
60 F 0.995 0.723 0.267

---

The following is a DFT calculation (meta-GGA SCAN) of a crystal of Sr2CrPb relaxed with PBEsol.

Output
The density of states at the Fermi level comes out at 3.02 states/eV/f.u. As for the formation energy: -0.22 eV/atom.

a = 4.808 Å, b = 4.748 Å, c = 11.857 Å
α = 90.00°, β = 90.00°, γ = 90.00°
Atoms (fractional coordinates):
1 Sr 0.000 0.000 0.000
2 Sr 0.000 0.500 0.500
3 Sr 0.500 0.000 0.287
4 Sr 0.500 0.500 0.787
5 Cr 0.500 0.000 0.585
6 Cr 0.500 0.500 0.085
7 Pb 0.000 0.000 0.708
8 Pb 0.000 0.500 0.208

---

The following is a DFT calculation (meta-GGA SCAN) of a crystal of Zr2NbCSe relaxed with PBEsol.

Output
The density of states at the Fermi level comes out at 3.89 states/eV/f.u. The formation energy (no corrections) is 74.7 kJ/mol of atoms.

a = 5.098 Å, b = 5.098 Å, c = 3.972 Å
α = 90.00°, β = 90.00°, γ = 90.00°
Atoms (fractional coordinates):
1 Zr 0.000 0.500 0.000
2 Zr 0.500 0.000 0.000
3 Nb 0.000 0.000 0.000
4 C 0.000 0.000 0.500
5 Se 0.500 0.500 0.500

---

The following is a DFT calculation (meta-GGA SCAN) of a crystal of BaCu2PdRh relaxed with PBEsol.

Output
The density of states at the Fermi level comes out at 2.56 states/eV/f.u. As for the formation energy: 0.36 eV/atom.

a = 4.717 Å, b = 4.717 Å, c = 4.888 Å
α = 90.00°, β = 90.00°, γ = 90.00°
Atoms (fractional coordinates):
1 Ba 0.000 0.000 0.000
2 Cu 0.000 0.500 0.500
3 Cu 0.500 0.000 0.500
4 Pd 0.500 0.500 0.500
5 Rh 0.500 0.500 0.000

---

The following is a DFT calculation (meta-GGA SCAN) of a crystal of Na5Ni2P2C2O14 relaxed with PBEsol.

Output
The density of states at the Fermi level comes out at 3.37 states/eV/f.u. The formation energy (no corrections) is -194.6 kJ/mol of atoms.

a = 8.866 Å, b = 6.375 Å, c = 10.270 Å
α = 90.00°, β = 91.14°, γ = 90.00°
Atoms (fractional coordinates):
1 Na 0.078 0.250 0.114
2 Na 0.241 0.004 0.392
3 Na 0.241 0.496 0.392
4 Na 0.270 0.013 0.871
5 Na 0.270 0.487 0.871
6 Na 0.730 0.513 0.129
7 Na 0.730 0.987 0.129
8 Na 0.759 0.504 0.608
9 Na 0.759 0.996 0.608
10 Na 0.922 0.750 0.886
11 Ni 0.343 0.750 0.111
12 Ni 0.354 0.750 0.615
13 Ni 0.646 0.250 0.385
14 Ni 0.657 0.250 0.889
15 P 0.418 0.250 0.147
16 P 0.430 0.250 0.647
17 P 0.570 0.750 0.353
18 P 0.582 0.750 0.853
19 C 0.067 0.750 0.134
20 C 0.078 0.750 0.648
21 C 0.922 0.250 0.352
22 C 0.933 0.250 0.866
23 O 0.065 0.250 0.344
24 O 0.076 0.250 0.872
25 O 0.143 0.750 0.024
26 O 0.148 0.750 0.538
27 O 0.150 0.750 0.238
28 O 0.166 0.750 0.751
29 O 0.316 0.060 0.110
30 O 0.316 0.440 0.110
31 O 0.330 0.057 0.614
32 O 0.330 0.443 0.614
33 O 0.420 0.750 0.425
34 O 0.433 0.750 0.926
35 O 0.449 0.250 0.298
36 O 0.463 0.250 0.798
37 O 0.537 0.750 0.202
38 O 0.551 0.750 0.702
39 O 0.567 0.250 0.074
40 O 0.580 0.250 0.575
41 O 0.670 0.557 0.386
42 O 0.670 0.943 0.386
43 O 0.684 0.560 0.890
44 O 0.684 0.940 0.890
45 O 0.834 0.250 0.249
46 O 0.850 0.250 0.762
47 O 0.852 0.250 0.462
48 O 0.857 0.250 0.976
49 O 0.924 0.750 0.128
50 O 0.935 0.750 0.656

---

The following is a DFT calculation (meta-GGA SCAN) of a crystal of LiLa3N relaxed with PBEsol.

Output
The density of states at the Fermi level comes out at 2.83 states/eV/f.u. The formation energy (no corrections) is 99.1 kJ/mol of atoms.

a = 4.937 Å, b = 4.937 Å, c = 4.937 Å
α = 90.00°, β = 90.00°, γ = 90.00°
Atoms (fractional coordinates):
1 Li 0.000 0.000 0.000
2 La 0.000 0.000 0.500
3 La 0.000 0.500 0.000
4 La 0.500 0.000 0.000
5 N 0.500 0.500 0.500

---

The following is a DFT calculation (meta-GGA SCAN) of a crystal of LaIn2Cl5 relaxed with PBEsol.

Output
The density of states at the Fermi level comes out at 0.00 states/eV/f.u. The formation energy (no corrections) is -173.4 kJ/mol of atoms.

a = 12.526 Å, b = 8.798 Å, c = 7.915 Å
α = 90.00°, β = 90.00°, γ = 90.00°
Atoms (fractional coordinates):
1 La 0.006 0.250 0.078
2 La 0.494 0.750 0.578
3 La 0.506 0.250 0.422
4 La 0.994 0.750 0.922
5 In 0.172 0.007 0.550
6 In 0.172 0.493 0.550
7 In 0.328 0.507 0.050
8 In 0.328 0.993 0.050
9 In 0.672 0.007 0.950
10 In 0.672 0.493 0.950
11 In 0.828 0.507 0.450
12 In 0.828 0.993 0.450
13 Cl 0.005 0.250 0.433
14 Cl 0.079 0.544 0.169
15 Cl 0.079 0.956 0.169
16 Cl 0.188 0.250 0.877
17 Cl 0.212 0.750 0.837
18 Cl 0.288 0.250 0.337
19 Cl 0.312 0.750 0.377
20 Cl 0.421 0.044 0.669
21 Cl 0.421 0.456 0.669
22 Cl 0.495 0.750 0.933
23 Cl 0.505 0.250 0.067
24 Cl 0.579 0.544 0.331
25 Cl 0.579 0.956 0.331
26 Cl 0.688 0.250 0.623
27 Cl 0.712 0.750 0.663
28 Cl 0.788 0.250 0.163
29 Cl 0.812 0.750 0.123
30 Cl 0.921 0.044 0.831
31 Cl 0.921 0.456 0.831
32 Cl 0.995 0.750 0.567

---

The following is a DFT calculation (meta-GGA SCAN) of a crystal of Hg3AsO5 relaxed with PBEsol.

Output
The density of states at the Fermi level comes out at 0.00 states/eV/f.u. The formation energy (no corrections) is -71.5 kJ/mol of atoms.

a = 6.980 Å, b = 9.089 Å, c = 10.579 Å
α = 90.00°, β = 122.31°, γ = 90.00°
Atoms (fractional coordinates):
1 Hg 0.041 0.131 0.054
2 Hg 0.041 0.369 0.554
3 Hg 0.227 0.006 0.485
4 Hg 0.227 0.494 0.985
5 Hg 0.340 0.137 0.847
6 Hg 0.340 0.363 0.347
7 Hg 0.660 0.637 0.653
8 Hg 0.660 0.863 0.153
9 Hg 0.773 0.506 0.015
10 Hg 0.773 0.994 0.515
11 Hg 0.959 0.631 0.446
12 Hg 0.959 0.869 0.946
13 As 0.301 0.740 0.288
14 As 0.301 0.760 0.788
15 As 0.699 0.240 0.212
16 As 0.699 0.260 0.712
17 O 0.041 0.678 0.243
18 O 0.041 0.822 0.743
19 O 0.137 0.136 0.616
20 O 0.137 0.364 0.116
21 O 0.333 0.731 0.139
22 O 0.333 0.769 0.639
23 O 0.352 0.580 0.853
24 O 0.352 0.920 0.353
25 O 0.483 0.127 0.078
26 O 0.483 0.373 0.578
27 O 0.517 0.627 0.422
28 O 0.517 0.873 0.922
29 O 0.648 0.080 0.647
30 O 0.648 0.420 0.147
31 O 0.667 0.231 0.361
32 O 0.667 0.269 0.861
33 O 0.863 0.636 0.884
34 O 0.863 0.864 0.384
35 O 0.959 0.178 0.257
36 O 0.959 0.322 0.757

---

The following is a DFT calculation (meta-GGA SCAN) of a crystal of CdTcPCl2 relaxed with PBEsol.

Output
The density of states at the Fermi level comes out at 2.89 states/eV/f.u. The formation energy (no corrections) is 1.4 kJ/mol of atoms.

a = 4.785 Å, b = 4.785 Å, c = 4.579 Å
α = 90.00°, β = 90.00°, γ = 90.00°
Atoms (fractional coordinates):
1 Cd 0.000 0.000 0.000
2 Tc 0.500 0.500 0.500
3 P 0.500 0.500 0.000
4 Cl 0.000 0.500 0.500
5 Cl 0.500 0.000 0.500

---

Number 1: M_tot 0.00 μB per formula unit. Number 2: M_tot 0.00 μB per formula unit. Number 3: M_tot 3.96 μB per formula unit. Number 4: M_tot 0.00 μB per formula unit. Number 5: M_tot 15.00 μB per formula unit. Number 6: M_tot 5.35 μB per formula unit. Number 7: M_tot 0.01 μB per formula unit. Number 8: M_tot 0.00 μB per formula unit. Number 9: M_tot 0.20 μB per formula unit. Number 10: M_tot 5.44 μB per formula unit. Number 11: M_tot 0.00 μB per formula unit. Number 12: M_tot 1.09 μB per formula unit. Number 13: M_tot 3.00 μB per formula unit. Number 14: M_tot 0.00 μB per formula unit. Number 15: M_tot 0.00 μB per formula unit. Number 16: M_tot 0.00 μB per formula unit. Number 17: M_tot 0.79 μB per formula unit.